Entry 1:
Entry from Alexandria: an optimized crystal structure of TbUP2 (PBE-GGA).

Results
ΔE to the lowest computed polymorph = 0.8868 eV/atom
Spin magnetization = 1.46 Bohr magnetons per cell

Structure (extended XYZ):
```
4
Lattice="2.033 1.174 8.063 -2.033 1.174 8.063 0.000 -2.348 8.063" Properties=species:S:1:pos:R:3 pbc="T T T"
Tb 0.000 0.000 0.000
U 0.000 0.000 12.094
P 0.000 0.000 2.684
P 0.000 0.000 21.505
```



Entry 2:
Entry from Alexandria: an optimized crystal structure of TbUP2 (PBE-GGA).

Results
ΔE to the lowest computed polymorph = 0.0000 eV/atom
Spin magnetization = 2.27 Bohr magnetons per cell

Structure (extended XYZ):
```
4
Lattice="1.978 1.142 6.581 -1.978 1.142 6.581 0.000 -2.284 6.581" Properties=species:S:1:pos:R:3 pbc="T T T"
Tb 0.000 0.000 0.000
U 0.000 0.000 9.872
P 0.000 0.000 4.891
P 0.000 0.000 14.852
```



Entry 3:
Entry from Alexandria: an optimized crystal structure of Tb5UP6 (PBE-GGA).

Results
Spin magnetization = 1.76 Bohr magnetons per cell
E_tot = -7.086 eV/atom

Structure (extended XYZ):
```
12
Lattice="3.467 -6.007 0.000 3.467 6.007 0.000 -2.310 0.000 6.533" Properties=species:S:1:pos:R:3 pbc="T T T"
Tb 0.000 0.000 0.000
Tb 2.312 4.010 3.266
Tb 3.467 2.029 0.000
Tb 3.467 -2.029 0.000
Tb 2.312 -4.010 3.266
U 2.312 0.000 3.266
P 1.185 1.952 1.662
P 0.065 0.000 4.864
P 1.185 -1.952 1.662
P 3.438 1.952 4.871
P 4.558 0.000 1.668
P 3.438 -1.952 4.871
```



Entry 4:
Entry from Alexandria: an optimized crystal structure of TbUP2 (PBE-GGA).

Results
ΔE to the lowest computed polymorph = 0.1796 eV/atom
Spin magnetization = 2.27 Bohr magnetons per cell

Structure (extended XYZ):
```
4
Lattice="1.957 1.130 6.855 -1.957 1.130 6.855 0.000 -2.260 6.855" Properties=species:S:1:pos:R:3 pbc="T T T"
Tb 0.000 0.000 0.000
U 0.000 0.000 3.576
P 0.000 0.000 12.026
P 0.000 0.000 15.587
```



Entry 5:
Entry from Alexandria: an optimized crystal structure of TbU3P4 (PBE-GGA).

Results
Spin magnetization = 6.58 Bohr magnetons per cell
E_tot = -8.641 eV/atom

Structure (extended XYZ):
```
8
Lattice="3.982 -5.597 0.000 3.982 5.597 0.000 0.000 0.000 3.932" Properties=species:S:1:pos:R:3 pbc="T T T"
Tb 0.000 0.000 0.000
U 1.991 2.799 1.966
U 1.991 -2.799 1.966
U 3.982 0.000 0.000
P 3.982 2.782 0.000
P 2.025 0.000 1.966
P 5.939 0.000 1.966
P 3.982 -2.782 0.000
```



Entry 6:
Entry from Alexandria: an optimized crystal structure of TbUP2 (PBE-GGA).

Results
ΔE to the lowest computed polymorph = 0.4757 eV/atom
Spin magnetization = 5.00 Bohr magnetons per cell

Structure (extended XYZ):
```
8
Lattice="3.780 0.000 0.000 0.000 5.175 0.000 0.000 0.000 9.801" Properties=species:S:1:pos:R:3 pbc="T T T"
Tb 0.945 1.294 1.207
Tb 2.835 3.881 8.593
U 0.945 3.881 3.769
U 2.835 1.294 6.031
P 0.945 1.294 4.010
P 0.945 1.294 8.215
P 2.835 3.881 1.586
P 2.835 3.881 5.791
```